1.
Entry from Alexandria via LeMat-Bulk: a relaxed structure of Ta2CrSe (PBE).

Values from the calculation:
Raw total energy in eV per atom: -9.05
Formation energy from raw total energies in eV/atom: 0.155
SG: R-3m (166)

abc: 3.1936 3.1936 23.0659
angles: 90.00 90.00 120.00
Atoms (fractional coordinates):
Ta (0.0000, 0.0000, 0.2453)
Ta (0.0000, 0.0000, 0.7547)
Ta (0.3333, 0.6667, 0.4214)
Ta (0.3333, 0.6667, 0.9120)
Ta (0.6667, 0.3333, 0.0880)
Ta (0.6667, 0.3333, 0.5786)
Cr (0.0000, 0.0000, 0.5000)
Cr (0.3333, 0.6667, 0.1667)
Cr (0.6667, 0.3333, 0.8333)
Se (0.0000, 0.0000, 0.0000)
Se (0.3333, 0.6667, 0.6667)
Se (0.6667, 0.3333, 0.3333)

2.
Entry from Alexandria via LeMat-Bulk: a relaxed structure of Ta4CrSe8 (PBE).

Values from the calculation:
Raw total energy in eV per atom: -7.33
Formation energy from raw total energies in eV/atom: -0.798
SG: P6_3/mmc (194)

abc: 6.9451 6.9451 12.8270
angles: 90.00 90.00 120.00
Atoms (fractional coordinates):
Ta (0.0000, 0.0000, 0.2500)
Ta (0.0000, 0.0000, 0.7500)
Ta (0.0178, 0.5089, 0.2500)
Ta (0.4911, 0.5089, 0.2500)
Ta (0.4911, 0.9822, 0.2500)
Ta (0.5089, 0.0178, 0.7500)
Ta (0.5089, 0.4911, 0.7500)
Ta (0.9822, 0.4911, 0.7500)
Cr (0.0000, 0.0000, 0.0000)
Cr (0.0000, 0.0000, 0.5000)
Se (0.1683, 0.3365, 0.6206)
Se (0.1683, 0.3365, 0.8794)
Se (0.1683, 0.8317, 0.6206)
Se (0.1683, 0.8317, 0.8794)
Se (0.3333, 0.6667, 0.1137)
Se (0.3333, 0.6667, 0.3863)
Se (0.3365, 0.1683, 0.1206)
Se (0.3365, 0.1683, 0.3794)
Se (0.6635, 0.8317, 0.6206)
Se (0.6635, 0.8317, 0.8794)
Se (0.6667, 0.3333, 0.6137)
Se (0.6667, 0.3333, 0.8863)
Se (0.8317, 0.1683, 0.1206)
Se (0.8317, 0.1683, 0.3794)
Se (0.8317, 0.6635, 0.1206)
Se (0.8317, 0.6635, 0.3794)

3.
Entry from Alexandria via LeMat-Bulk: a relaxed structure of TaCrSe2 (PBE).

Values from the calculation:
Raw total energy in eV per atom: -7.17
Polymorph energy (0 for the lowest one) in meV per atom: 355
Formation energy from raw total energies in eV/atom: -0.057
SG: C2/m (12)

abc: 7.9815 3.3819 5.6686
angles: 90.00 98.09 90.00
Atoms (fractional coordinates):
Ta (0.0000, 0.0000, 0.0000)
Ta (0.5000, 0.5000, 0.0000)
Cr (0.0000, 0.5000, 0.5000)
Cr (0.5000, 0.0000, 0.5000)
Se (0.2177, 0.5000, 0.2305)
Se (0.2823, 0.0000, 0.7695)
Se (0.7177, 0.0000, 0.2305)
Se (0.7823, 0.5000, 0.7695)

4.
Entry from Alexandria via LeMat-Bulk: a relaxed structure of TaCrSe2 (PBE).

Values from the calculation:
Raw total energy in eV per atom: -7.22
Polymorph energy (0 for the lowest one) in meV per atom: 301
Formation energy from raw total energies in eV/atom: -0.112
SG: Fm-3m (225)

abc: 6.4274 6.4274 6.4274
angles: 90.00 90.00 90.00
Atoms (fractional coordinates):
Ta (0.0000, 0.0000, 0.0000)
Ta (0.0000, 0.5000, 0.5000)
Ta (0.5000, 0.0000, 0.5000)
Ta (0.5000, 0.5000, 0.0000)
Cr (0.0000, 0.0000, 0.5000)
Cr (0.0000, 0.5000, 0.0000)
Cr (0.5000, 0.0000, 0.0000)
Cr (0.5000, 0.5000, 0.5000)
Se (0.2500, 0.2500, 0.2500)
Se (0.2500, 0.2500, 0.7500)
Se (0.2500, 0.7500, 0.2500)
Se (0.2500, 0.7500, 0.7500)
Se (0.7500, 0.2500, 0.2500)
Se (0.7500, 0.2500, 0.7500)
Se (0.7500, 0.7500, 0.2500)
Se (0.7500, 0.7500, 0.7500)

5.
Entry from Alexandria via LeMat-Bulk: a relaxed structure of Ta3CrSe (PBE).

Values from the calculation:
Raw total energy in eV per atom: -8.74
Polymorph energy (0 for the lowest one) in meV per atom: 0
Formation energy from raw total energies in eV/atom: 0.989
SG: Pm-3m (221)

abc: 4.6524 4.6524 4.6524
angles: 90.00 90.00 90.00
Atoms (fractional coordinates):
Ta (0.0000, 0.0000, 0.5000)
Ta (0.0000, 0.5000, 0.0000)
Ta (0.5000, 0.0000, 0.0000)
Cr (0.0000, 0.0000, 0.0000)
Se (0.5000, 0.5000, 0.5000)

6.
Entry from Alexandria via LeMat-Bulk: a relaxed structure of Ta2CrSe (PBE).

Values from the calculation:
Raw total energy in eV per atom: -9.12
Formation energy from raw total energies in eV/atom: 0.081
SG: Imm2 (44)

abc: 3.1871 4.1867 9.7227
angles: 90.00 90.00 90.00
Atoms (fractional coordinates):
Ta (0.0000, 0.0000, 0.0000)
Ta (0.0000, 0.5000, 0.2312)
Ta (0.5000, 0.0000, 0.7312)
Ta (0.5000, 0.5000, 0.5000)
Cr (0.0000, 0.0000, 0.5045)
Cr (0.5000, 0.5000, 0.0045)
Se (0.0000, 0.5000, 0.8000)
Se (0.5000, 0.0000, 0.3000)

7.
Entry from Alexandria via LeMat-Bulk: a relaxed structure of Ta2CrSe (PBE).

Values from the calculation:
Raw total energy in eV per atom: -9.07
Formation energy from raw total energies in eV/atom: 0.137
SG: C2/m (12)

abc: 5.7688 7.1237 3.1510
angles: 90.00 96.65 90.00
Atoms (fractional coordinates):
Ta (0.2500, 0.2500, 0.0000)
Ta (0.2500, 0.7500, 0.0000)
Ta (0.7500, 0.2500, 0.0000)
Ta (0.7500, 0.7500, 0.0000)
Cr (0.0000, 0.0000, 0.5000)
Cr (0.5000, 0.5000, 0.5000)
Se (0.0000, 0.5000, 0.5000)
Se (0.5000, 0.0000, 0.5000)

8.
Entry from Alexandria via LeMat-Bulk: a relaxed structure of Ta2CrSe (PBE).

Values from the calculation:
Raw total energy in eV per atom: -9.05
Formation energy from raw total energies in eV/atom: 0.157
SG: Immm (71)

abc: 3.3318 4.8316 8.1089
angles: 90.00 90.00 90.00
Atoms (fractional coordinates):
Ta (0.0000, 0.0000, 0.2501)
Ta (0.0000, 0.0000, 0.7499)
Ta (0.5000, 0.5000, 0.2499)
Ta (0.5000, 0.5000, 0.7501)
Cr (0.0000, 0.5000, 0.0000)
Cr (0.5000, 0.0000, 0.5000)
Se (0.0000, 0.5000, 0.5000)
Se (0.5000, 0.0000, 0.0000)